SCAN Ba2BeCd, PBEsol geometry; relative energy among the computed polymorphs = 0.40 eV/f.u.
1.0
-3.935 -1.214 -1.193
-0.751 -1.143 -4.064
0.544 -9.690 0.363
Ba Be Cd
2 1 1
direct
0.758 0.758 0.726
0.242 0.242 0.274
0.500 0.500 0.500
0.000 0.000 0.000